# 1
DFT (PBE) results for Sm2Y3In4 after structural relaxation.

Structure (CIF):
```
data_Sm2Y3In4
_chemical_formula_sum 'Sm8 Y12 In16'
_cell_length_a 7.1206
_cell_length_b 16.4196
_cell_length_c 9.2111
_cell_angle_alpha 90.00
_cell_angle_beta 90.00
_cell_angle_gamma 90.00
_space_group_name_H-M_alt 'C m c e'
_space_group_IT_number 64
_space_group_name_Hall '-C 2ac 2'
loop_
_atom_site_label
_atom_site_type_symbol
_atom_site_fract_x
_atom_site_fract_y
_atom_site_fract_z
_atom_site_occupancy
Sm1 Sm 0.0000 0.1100 0.0745 1
Y1 Y 0.0000 0.0000 0.5000 1
Y2 Y 0.2500 0.2142 0.7500 1
In1 In 0.0000 0.1870 0.4606 1
In2 In 0.2500 0.0274 0.7500 1
```



# 2
DFT (PBE) results for Sm2Y6In after structural relaxation.

Structure (CIF):
```
data_Sm2Y6In
_chemical_formula_sum 'Sm4 Y12 In2'
_cell_length_a 3.5136
_cell_length_b 10.1888
_cell_length_c 16.0685
_cell_angle_alpha 90.00
_cell_angle_beta 90.00
_cell_angle_gamma 90.00
_space_group_name_H-M_alt 'I m m m'
_space_group_IT_number 71
_space_group_name_Hall '-I 2 2'
loop_
_atom_site_label
_atom_site_type_symbol
_atom_site_fract_x
_atom_site_fract_y
_atom_site_fract_z
_atom_site_occupancy
Sm1 Sm 0.0000 0.0000 0.1527 1
Y1 Y 0.0000 0.2978 0.5000 1
Y2 Y 0.0000 0.3380 0.1767 1
In1 In 0.0000 0.5000 0.0000 1
```



# 3
DFT (PBE) results for Sm5Y2In4 after structural relaxation.

Structure (CIF):
```
data_Sm5Y2In4
_chemical_formula_sum 'Sm10 Y4 In8'
_cell_length_a 3.7282
_cell_length_b 8.8589
_cell_length_c 21.3243
_cell_angle_alpha 90.00
_cell_angle_beta 90.00
_cell_angle_gamma 90.00
_space_group_name_H-M_alt 'I m m m'
_space_group_IT_number 71
_space_group_name_Hall '-I 2 2'
loop_
_atom_site_label
_atom_site_type_symbol
_atom_site_fract_x
_atom_site_fract_y
_atom_site_fract_z
_atom_site_occupancy
Sm1 Sm 0.0000 0.0000 0.0000 1
Sm2 Sm 0.0000 0.2930 0.3459 1
Y1 Y 0.0000 0.5000 0.0819 1
In1 In 0.0000 0.2172 0.5000 1
In2 In 0.0000 0.5000 0.2223 1
```



Number 1: DFT formation energy -0.3030 eV/atom. Number 2: DFT formation energy -0.0196 eV/atom. Number 3: DFT formation energy -0.1691 eV/atom.